a:
VASP calculation (PBE-GGA) on a relaxed CrMoRu crystal.

## Properties
V   15.76 Å³ per atom
Density of states at the Fermi level   1.3080 states/eV per atom

a = 4.059 Å, b = 4.059 Å, c = 4.059 Å
α = 60.00°, β = 60.00°, γ = 60.00°
Fractional positions:
1 Cr 0.000 0.000 0.000
2 Mo 0.250 0.250 0.250
3 Ru 0.750 0.750 0.750

***

b:
VASP calculation (PBE-GGA) on a relaxed CrMoRu crystal.

## Properties
V   14.03 Å³ per atom
Density of states at the Fermi level   1.7030 states/eV per atom

a = 6.646 Å, b = 6.460 Å, c = 2.672 Å
α = 82.18°, β = 74.35°, γ = 23.47°
Fractional positions:
1 Cr 0.000 0.000 0.000
2 Mo 0.337 0.337 0.663
3 Ru 0.659 0.659 0.341

***

What should be chosen as the most stable of them? Choose b.

***

a:
VASP calculation (PBE-GGA) on a relaxed CrMoRu crystal.

## Properties
V   14.29 Å³ per atom
Density of states at the Fermi level   0.8607 states/eV per atom

a = 9.118 Å, b = 8.335 Å, c = 5.049 Å
α = 81.93°, β = 64.83°, γ = 33.24°
Fractional positions:
1 Cr 0.015 0.015 0.235
2 Cr 0.235 0.235 0.015
3 Cr 0.765 0.765 0.985
4 Cr 0.985 0.985 0.765
5 Mo 0.291 0.291 0.459
6 Mo 0.459 0.459 0.291
7 Mo 0.541 0.541 0.709
8 Mo 0.709 0.709 0.541
9 Ru 0.068 0.682 0.068
10 Ru 0.318 0.932 0.318
11 Ru 0.682 0.068 0.682
12 Ru 0.932 0.318 0.932

***

b:
VASP calculation (PBE-GGA) on a relaxed CrMoRu crystal.

## Properties
V   14.00 Å³ per atom
Density of states at the Fermi level   1.0354 states/eV per atom

a = 6.086 Å, b = 6.086 Å, c = 6.086 Å
α = 154.41°, β = 154.41°, γ = 36.50°
Fractional positions:
1 Cr 0.000 0.000 0.000
2 Mo 0.325 0.325 0.000
3 Ru 0.644 0.644 0.000

***

What should be chosen as the most stable of them? Choose b.

***

a:
VASP calculation (PBE-GGA) on a relaxed Cr3MoS crystal.

## Properties
V   18.05 Å³ per atom
Density of states at the Fermi level   2.6448 states/eV per atom

a = 4.485 Å, b = 4.485 Å, c = 4.485 Å
α = 90.00°, β = 90.00°, γ = 90.00°
Fractional positions:
1 Cr 0.000 0.000 0.500
2 Cr 0.000 0.500 0.000
3 Cr 0.500 0.000 0.000
4 Mo 0.000 0.000 0.000
5 S 0.500 0.500 0.500

***

b:
VASP calculation (PBE-GGA) on a relaxed Cr3MoS crystal.

## Properties
V   13.90 Å³ per atom
Density of states at the Fermi level   1.1917 states/eV per atom

a = 4.112 Å, b = 4.112 Å, c = 4.112 Å
α = 90.00°, β = 90.00°, γ = 90.00°
Fractional positions:
1 Cr 0.000 0.000 0.500
2 Cr 0.000 0.500 0.000
3 Cr 0.500 0.000 0.000
4 Mo 0.500 0.500 0.500
5 S 0.000 0.000 0.000

***

What should be chosen as the most stable of them? Choose b.

***

a:
VASP calculation (PBE-GGA) on a relaxed CrSb2Mo crystal.

## Properties
V   20.63 Å³ per atom
Density of states at the Fermi level   0.4905 states/eV per atom

a = 8.507 Å, b = 8.507 Å, c = 8.507 Å
α = 23.00°, β = 23.00°, γ = 23.00°
Fractional positions:
1 Cr 0.000 0.000 0.000
2 Sb 0.246 0.246 0.246
3 Sb 0.754 0.754 0.754
4 Mo 0.500 0.500 0.500

***

b:
VASP calculation (PBE-GGA) on a relaxed CrSb2Mo crystal.

## Properties
V   22.29 Å³ per atom
Density of states at the Fermi level   0.4453 states/eV per atom

a = 10.733 Å, b = 10.733 Å, c = 10.733 Å
α = 16.71°, β = 16.71°, γ = 16.71°
Fractional positions:
1 Cr 0.000 0.000 0.000
2 Sb 0.539 0.539 0.539
3 Sb 0.734 0.734 0.734
4 Mo 0.277 0.277 0.277

***

c:
VASP calculation (PBE-GGA) on a relaxed CrSb2Mo crystal.

## Properties
V   19.38 Å³ per atom
Density of states at the Fermi level   0.8013 states/eV per atom

a = 3.279 Å, b = 5.176 Å, c = 4.566 Å
α = 90.00°, β = 90.00°, γ = 90.00°
Fractional positions:
1 Cr 0.000 0.000 0.000
2 Sb 0.000 0.500 0.248
3 Sb 0.500 0.000 0.518
4 Mo 0.500 0.500 0.764

***

d:
VASP calculation (PBE-GGA) on a relaxed CrSb2Mo crystal.

## Properties
V   18.51 Å³ per atom
Density of states at the Fermi level   0.4980 states/eV per atom

a = 4.713 Å, b = 4.713 Å, c = 4.713 Å
α = 60.00°, β = 60.00°, γ = 60.00°
Fractional positions:
1 Cr 0.000 0.000 0.000
2 Sb 0.250 0.250 0.250
3 Sb 0.750 0.750 0.750
4 Mo 0.500 0.500 0.500

***

What should be chosen as the most stable of them? Choose d.

***

a:
VASP calculation (PBE-GGA) on a relaxed CrSb2Mo crystal.

## Properties
V   18.19 Å³ per atom
Density of states at the Fermi level   0.7305 states/eV per atom

a = 4.686 Å, b = 4.686 Å, c = 3.313 Å
α = 90.00°, β = 90.00°, γ = 90.00°
Fractional positions:
1 Cr 0.000 0.000 0.000
2 Sb 0.000 0.500 0.500
3 Sb 0.500 0.000 0.500
4 Mo 0.500 0.500 0.000

***

b:
VASP calculation (PBE-GGA) on a relaxed CrSb2Mo crystal.

## Properties
V   19.35 Å³ per atom
Density of states at the Fermi level   0.7636 states/eV per atom

a = 5.570 Å, b = 5.570 Å, c = 5.570 Å
α = 137.69°, β = 137.69°, γ = 61.38°
Fractional positions:
1 Cr 0.000 0.000 0.000
2 Sb 0.500 0.500 0.000
3 Sb 0.750 0.250 0.500
4 Mo 0.250 0.750 0.500

***

What should be chosen as the most stable of them? Choose a.

***

a:
VASP calculation (PBE-GGA) on a relaxed CrSb2Mo crystal.

## Properties
V   19.81 Å³ per atom
Density of states at the Fermi level   0.7804 states/eV per atom

a = 4.639 Å, b = 4.639 Å, c = 5.494 Å
α = 99.31°, β = 99.31°, γ = 42.91°
Fractional positions:
1 Cr 0.000 0.000 0.000
2 Sb 0.240 0.240 0.737
3 Sb 0.760 0.760 0.263
4 Mo 0.500 0.500 0.500

***

b:
VASP calculation (PBE-GGA) on a relaxed CrSb2Mo crystal.

## Properties
V   19.59 Å³ per atom
Density of states at the Fermi level   0.4226 states/eV per atom

a = 6.498 Å, b = 6.498 Å, c = 6.498 Å
α = 147.89°, β = 147.37°, γ = 46.43°
Fractional positions:
1 Cr 0.000 0.000 0.000
2 Sb 0.567 0.567 0.000
3 Sb 0.827 0.327 0.500
4 Mo 0.236 0.736 0.500

***

What should be chosen as the most stable of them? Choose b.

***

a:
VASP calculation (PBE-GGA) on a relaxed Sc2CrMo crystal.

## Properties
V   17.39 Å³ per atom
Density of states at the Fermi level   1.2125 states/eV per atom

a = 2.838 Å, b = 2.838 Å, c = 8.986 Å
α = 90.00°, β = 90.00°, γ = 106.00°
Fractional positions:
1 Sc 0.000 0.000 0.236
2 Sc 0.000 0.000 0.764
3 Cr 0.500 0.500 0.000
4 Mo 0.500 0.500 0.500

***

b:
VASP calculation (PBE-GGA) on a relaxed Sc2CrMo crystal.

## Properties
V   18.44 Å³ per atom
Density of states at the Fermi level   1.4066 states/eV per atom

a = 4.707 Å, b = 4.707 Å, c = 4.707 Å
α = 60.00°, β = 60.00°, γ = 60.00°
Fractional positions:
1 Sc 0.250 0.250 0.250
2 Sc 0.750 0.750 0.750
3 Cr 0.000 0.000 0.000
4 Mo 0.500 0.500 0.500

***

c:
VASP calculation (PBE-GGA) on a relaxed Sc2CrMo crystal.

## Properties
V   17.59 Å³ per atom
Density of states at the Fermi level   1.5425 states/eV per atom

a = 4.637 Å, b = 4.637 Å, c = 4.637 Å
α = 120.15°, β = 120.15°, γ = 89.74°
Fractional positions:
1 Sc 0.000 0.000 0.000
2 Sc 0.750 0.250 0.500
3 Cr 0.250 0.750 0.500
4 Mo 0.500 0.500 0.000

***

d:
VASP calculation (PBE-GGA) on a relaxed Sc2CrMo crystal.

## Properties
V   18.04 Å³ per atom
Density of states at the Fermi level   1.1319 states/eV per atom

a = 2.937 Å, b = 4.477 Å, c = 5.590 Å
α = 90.00°, β = 101.09°, γ = 90.00°
Fractional positions:
1 Sc 0.239 0.000 0.248
2 Sc 0.761 0.000 0.752
3 Cr 0.000 0.500 0.500
4 Mo 0.500 0.500 0.000

***

What should be chosen as the most stable of them? Choose c.

***

a:
VASP calculation (PBE-GGA) on a relaxed CrMoSe4 crystal.

## Properties
V   22.71 Å³ per atom
Density of states at the Fermi level   0.1753 states/eV per atom

a = 7.555 Å, b = 7.555 Å, c = 5.871 Å
α = 102.28°, β = 102.28°, γ = 24.62°
Fractional positions:
1 Cr 0.000 0.000 0.000
2 Mo 0.512 0.512 0.387
3 Se 0.134 0.134 0.331
4 Se 0.381 0.381 0.035
5 Se 0.598 0.598 0.828
6 Se 0.910 0.910 0.578

***

b:
VASP calculation (PBE-GGA) on a relaxed CrMoSe4 crystal.

## Properties
V   22.17 Å³ per atom
Density of states at the Fermi level   0.7731 states/eV per atom

a = 5.730 Å, b = 5.730 Å, c = 5.730 Å
α = 60.00°, β = 60.00°, γ = 60.00°
Fractional positions:
1 Cr 0.000 0.000 0.000
2 Mo 0.750 0.750 0.750
3 Se 0.375 0.375 0.375
4 Se 0.375 0.375 0.874
5 Se 0.375 0.874 0.375
6 Se 0.874 0.375 0.375

***

What should be chosen as the most stable of them? Choose a.

***

a:
VASP calculation (PBE-GGA) on a relaxed CrMoSe crystal.

## Properties
V   14.45 Å³ per atom
Density of states at the Fermi level   0.6312 states/eV per atom

a = 4.114 Å, b = 4.114 Å, c = 2.957 Å
α = 90.00°, β = 90.00°, γ = 120.00°
Fractional positions:
1 Cr 0.000 0.000 0.000
2 Mo 0.333 0.667 0.507
3 Se 0.667 0.333 0.004

***

b:
VASP calculation (PBE-GGA) on a relaxed CrMoSe crystal.

## Properties
V   14.26 Å³ per atom
Density of states at the Fermi level   0.7889 states/eV per atom

a = 5.251 Å, b = 5.251 Å, c = 5.251 Å
α = 147.00°, β = 147.00°, γ = 47.36°
Fractional positions:
1 Cr 0.000 0.000 0.000
2 Mo 0.681 0.681 0.000
3 Se 0.366 0.366 0.000

***

What should be chosen as the most stable of them? Choose a.

***

a:
VASP calculation (PBE-GGA) on a relaxed CrMoSe crystal.

## Properties
V   14.82 Å³ per atom
Density of states at the Fermi level   0.7880 states/eV per atom

a = 4.453 Å, b = 4.453 Å, c = 4.453 Å
α = 140.39°, β = 126.58°, γ = 68.51°
Fractional positions:
1 Cr 0.000 0.000 0.000
2 Mo 0.664 0.664 0.000
3 Se 0.326 0.326 0.000

***

b:
VASP calculation (PBE-GGA) on a relaxed CrMoSe crystal.

## Properties
V   15.80 Å³ per atom
Density of states at the Fermi level   0.7385 states/eV per atom

a = 3.070 Å, b = 3.070 Å, c = 5.808 Å
α = 90.00°, β = 90.00°, γ = 120.00°
Fractional positions:
1 Cr 0.000 0.000 0.000
2 Mo 0.333 0.667 0.284
3 Se 0.667 0.333 0.664

***

What should be chosen as the most stable of them? Choose b.

***

a:
VASP calculation (PBE-GGA) on a relaxed CrMoSe crystal.

## Properties
V   16.04 Å³ per atom
Density of states at the Fermi level   0.8857 states/eV per atom

a = 3.164 Å, b = 3.164 Å, c = 11.100 Å
α = 90.00°, β = 90.00°, γ = 120.00°
Fractional positions:
1 Cr 0.000 0.000 0.165
2 Cr 0.000 0.000 0.835
3 Mo 0.000 0.000 0.500
4 Mo 0.667 0.333 0.000
5 Se 0.667 0.333 0.335
6 Se 0.667 0.333 0.665

***

b:
VASP calculation (PBE-GGA) on a relaxed CrMoSe crystal.

## Properties
V   15.68 Å³ per atom
Density of states at the Fermi level   0.5748 states/eV per atom

a = 4.052 Å, b = 4.052 Å, c = 4.052 Å
α = 60.00°, β = 60.00°, γ = 60.00°
Fractional positions:
1 Cr 0.000 0.000 0.000
2 Mo 0.250 0.250 0.250
3 Se 0.750 0.750 0.750

***

What should be chosen as the most stable of them? Choose b.

***

a:
VASP calculation (PBE-GGA) on a relaxed CrMo3Se crystal.

## Properties
V   18.52 Å³ per atom
Density of states at the Fermi level   1.3827 states/eV per atom

a = 4.524 Å, b = 4.524 Å, c = 4.524 Å
α = 90.00°, β = 90.00°, γ = 90.00°
Fractional positions:
1 Cr 0.000 0.000 0.000
2 Mo 0.000 0.000 0.500
3 Mo 0.000 0.500 0.000
4 Mo 0.500 0.000 0.000
5 Se 0.500 0.500 0.500

***

b:
VASP calculation (PBE-GGA) on a relaxed CrMo3Se crystal.

## Properties
V   18.78 Å³ per atom
Density of states at the Fermi level   2.8731 states/eV per atom

a = 4.546 Å, b = 4.546 Å, c = 4.546 Å
α = 90.00°, β = 90.00°, γ = 90.00°
Fractional positions:
1 Cr 0.000 0.000 0.000
2 Mo 0.000 0.500 0.500
3 Mo 0.500 0.000 0.500
4 Mo 0.500 0.500 0.000
5 Se 0.500 0.500 0.500

***

What should be chosen as the most stable of them? Choose a.

***

a:
VASP calculation (PBE-GGA) on a relaxed Cr3MoSe crystal.

## Properties
V   21.20 Å³ per atom
Density of states at the Fermi level   0.5600 states/eV per atom

a = 4.733 Å, b = 4.733 Å, c = 4.733 Å
α = 90.00°, β = 90.00°, γ = 90.00°
Fractional positions:
1 Cr 0.000 0.000 0.500
2 Cr 0.000 0.500 0.000
3 Cr 0.500 0.000 0.000
4 Mo 0.000 0.000 0.000
5 Se 0.500 0.500 0.500

***

b:
VASP calculation (PBE-GGA) on a relaxed Cr3MoSe crystal.

## Properties
V   15.75 Å³ per atom
Density of states at the Fermi level   1.3986 states/eV per atom

a = 4.286 Å, b = 4.286 Å, c = 4.286 Å
α = 90.00°, β = 90.00°, γ = 90.00°
Fractional positions:
1 Cr 0.000 0.000 0.500
2 Cr 0.000 0.500 0.000
3 Cr 0.500 0.000 0.000
4 Mo 0.500 0.500 0.500
5 Se 0.000 0.000 0.000

***

What should be chosen as the most stable of them? Choose b.